Here is an optimized crystal structure of K2NaAsBr6 from Alexandria via LeMat-Bulk. Energies are from GGA-PBEsol.

The structure in extended XYZ format:
```
10
Lattice="0.000 5.432 5.432 5.432 0.000 5.432 5.432 5.432 0.000" Properties=species:S:1:pos:R:3 pbc="T T T"
K 2.716 2.716 2.716
K 8.148 8.148 8.148
Na 0.000 0.000 0.000
As 5.432 5.432 5.432
Br 5.432 5.432 2.818
Br 5.432 2.818 5.432
Br 8.046 5.432 5.432
Br 2.818 5.432 5.432
Br 5.432 8.046 5.432
Br 5.432 5.432 8.046
```

As for the density of states at the Fermi level: 0.00 states/eV/f.u. The total energy is -3.132 eV per atom.


Here is an optimized crystal structure of KNaAs2Br from Alexandria via LeMat-Bulk. Energies are from GGA-PBEsol.

The structure in extended XYZ format:
```
5
Lattice="5.168 0.000 0.000 0.000 5.168 0.000 0.000 0.000 5.772" Properties=species:S:1:pos:R:3 pbc="T T T"
K 0.000 0.000 0.000
Na 2.584 2.584 2.886
As 0.000 2.584 2.886
As 2.584 0.000 2.886
Br 2.584 2.584 0.000
```

As for the density of states at the Fermi level: 2.60 states/eV/f.u. The total energy is -2.748 eV per atom.


Here is an optimized crystal structure of KAsPdBr2 from Alexandria via LeMat-Bulk. Energies are from GGA-PBEsol.

The structure in extended XYZ format:
```
5
Lattice="5.792 0.000 0.000 0.000 5.792 0.000 0.000 0.000 5.902" Properties=species:S:1:pos:R:3 pbc="T T T"
K 0.000 0.000 0.000
As 0.000 0.000 2.951
Pd 2.896 2.896 2.951
Br 0.000 2.896 0.000
Br 2.896 0.000 0.000
```

As for the density of states at the Fermi level: 14.88 states/eV/f.u. The total energy is -2.262 eV per atom.


Here is an optimized crystal structure of KAsPtBr2 from Alexandria via LeMat-Bulk. Energies are from GGA-PBEsol.

The structure in extended XYZ format:
```
5
Lattice="5.596 0.000 0.000 0.000 5.596 0.000 0.000 0.000 5.893" Properties=species:S:1:pos:R:3 pbc="T T T"
K 0.000 0.000 0.000
As 0.000 0.000 2.946
Pt 2.798 2.798 2.946
Br 0.000 2.798 0.000
Br 2.798 0.000 0.000
```

As for the density of states at the Fermi level: 10.90 states/eV/f.u. The total energy is -2.072 eV per atom.